(1)
## Rb2LaPm3O8 (PBE-GGA)

Data for crystalline Rb2LaPm3O8 at its relaxed geometry. Values from VASP.

The structure in Quantum ESPRESSO input format:
```
&SYSTEM
  ibrav = 0, nat = 14, ntyp = 4
/
ATOMIC_SPECIES
Pm 145.00 Pm.upf
O 16.00 O.upf
Rb 85.47 Rb.upf
La 138.91 La.upf
CELL_PARAMETERS angstrom
-4.035 -5.443 -2.609
-1.986 -5.458 4.357
-7.293 -0.464 2.145
ATOMIC_POSITIONS crystal
Pm 0.496 0.997 0.011
Pm 0.997 0.496 0.011
O 0.269 0.269 0.192
O 0.773 0.773 0.196
O 0.672 0.259 0.810
Pm 0.496 0.496 0.011
O 0.259 0.259 0.810
Rb 0.124 0.124 0.628
La 0.884 0.884 0.347
O 0.773 0.258 0.196
O 0.259 0.672 0.810
O 0.258 0.773 0.196
O 0.728 0.728 0.817
Rb 0.504 0.504 0.487
```

Properties
* space-group type: R3m (160)
* DOS at the Fermi energy: 8.5 states/eV/cell
* electronic total energy: -6.833 eV/atom

***

(2)
## LaTb3Y2Er6 (PBE-GGA)

Data for crystalline LaTb3Y2Er6 at its relaxed geometry. Values from VASP.

The structure in Quantum ESPRESSO input format:
```
&SYSTEM
  ibrav = 0, nat = 12, ntyp = 4
/
ATOMIC_SPECIES
Y 88.91 Y.upf
Tb 158.93 Tb.upf
Er 167.26 Er.upf
La 138.91 La.upf
CELL_PARAMETERS angstrom
-0.527 2.556 -5.569
4.698 -3.779 1.213
-7.728 -8.617 -2.095
ATOMIC_POSITIONS crystal
Y 0.333 0.667 0.000
Tb 0.167 0.833 0.500
Y 0.667 0.333 0.000
Er 0.751 0.751 0.253
Tb 0.833 0.167 0.500
Er 0.249 0.249 0.747
Er 0.419 0.085 0.253
Tb 0.500 0.500 0.500
Er 0.085 0.419 0.253
Er 0.915 0.581 0.747
Er 0.581 0.915 0.747
La 0.000 0.000 0.000
```

Properties
* space-group type: C2/m (12)
* DOS at the Fermi energy: 15.9 states/eV/cell
* electronic total energy: -4.904 eV/atom